1.
Computed, not measured: crystalline CaEuInSn at its relaxed geometry at the PBE level of DFT.

Summary:
**Crystal system**: cubic
**Magnetization**: 1.761 μB/atom
**E**: -5.31 eV/atom

```
data_CaEuInSn
_symmetry_space_group_name_H-M 'P 1'
_symmetry_Int_Tables_number 1
_cell_length_a 5.5136
_cell_length_b 5.5136
_cell_length_c 5.5136
_cell_angle_alpha 60.00
_cell_angle_beta 60.00
_cell_angle_gamma 60.00
loop_
_symmetry_equiv_pos_as_xyz
'x,y,z'
loop_
_atom_site_label
_atom_site_type_symbol
_atom_site_fract_x
_atom_site_fract_y
_atom_site_fract_z
_atom_site_occupancy
Eu1 Eu 0.0000 0.0000 0.0000 1
Ca1 Ca 0.5000 0.5000 0.5000 1
Sn1 Sn 0.2500 0.2500 0.2500 1
In1 In 0.7500 0.7500 0.7500 1
```

---

2.
Computed, not measured: crystalline TaSbRh2 at its relaxed geometry at the PBE level of DFT.

Summary:
**Uncorrected formation energy**: -0.9 eV/f.u.
**Crystal system**: orthorhombic
**Magnetization**: 0.000 μB/atom

```
data_TaSbRh2
_symmetry_space_group_name_H-M 'P 1'
_symmetry_Int_Tables_number 1
_cell_length_a 3.0653
_cell_length_b 4.0713
_cell_length_c 5.4701
_cell_angle_alpha 90.00
_cell_angle_beta 90.00
_cell_angle_gamma 90.00
loop_
_symmetry_equiv_pos_as_xyz
'x,y,z'
loop_
_atom_site_label
_atom_site_type_symbol
_atom_site_fract_x
_atom_site_fract_y
_atom_site_fract_z
_atom_site_occupancy
Ta1 Ta 0.5000 0.5000 0.7883 1
Sb1 Sb 0.0000 0.0000 0.4650 1
Rh1 Rh 0.0000 0.0000 0.9728 1
Rh2 Rh 0.5000 0.5000 0.2739 1
```

---

magnetization of number 1 (CaEuInSn)? 1.761 μB/atom

---

Look up the magnetization of the first one. 1.761 μB/atom